No. 1
# Li3GeCl, relaxed, DFT PBE-GGA
data_Li3GeCl
_space_group_name_H-M_alt 'P 1'
_space_group_IT_number 1
_cell_length_a 4.5562
_cell_length_b 4.5562
_cell_length_c 4.5562
_cell_angle_alpha 90.00
_cell_angle_beta 90.00
_cell_angle_gamma 90.00
loop_
_space_group_symop_operation_xyz
'x,y,z'
loop_
_atom_site_label
_atom_site_type_symbol
_atom_site_fract_x
_atom_site_fract_y
_atom_site_fract_z
Ge1 Ge 0.5000 0.5000 0.5000
Li1 Li 0.0000 0.5000 0.0000
Li2 Li 0.0000 0.0000 0.5000
Li3 Li 0.5000 0.0000 0.0000
Cl1 Cl 0.0000 0.0000 0.0000
# uncorrected formation energy: -0.55 eV/atom
# density of states at the Fermi level: 0.377 states/eV/atom
# relative energy among the computed polymorphs: 0.000 eV/atom

No. 2
# Li3Ge2Cl7, relaxed, DFT PBE-GGA
data_Li3Ge2Cl7
_space_group_name_H-M_alt 'P 1'
_space_group_IT_number 1
_cell_length_a 6.9659
_cell_length_b 6.8571
_cell_length_c 12.1914
_cell_angle_alpha 106.33
_cell_angle_beta 90.00
_cell_angle_gamma 90.00
loop_
_space_group_symop_operation_xyz
'x,y,z'
loop_
_atom_site_label
_atom_site_type_symbol
_atom_site_fract_x
_atom_site_fract_y
_atom_site_fract_z
Li1 Li 0.7491 0.7274 0.0000
Li2 Li 0.2491 0.2726 0.0000
Li3 Li 0.7936 0.0188 0.4086
Li4 Li 0.2936 0.9812 0.5914
Li5 Li 0.7936 0.6101 0.5914
Li6 Li 0.2936 0.3899 0.4086
Ge1 Ge 0.7688 0.1507 0.7912
Ge2 Ge 0.2688 0.8493 0.2088
Ge3 Ge 0.2688 0.6405 0.7912
Ge4 Ge 0.7688 0.3595 0.2088
Cl1 Cl 0.6611 0.3488 0.4156
Cl2 Cl 0.1611 0.6512 0.5844
Cl3 Cl 0.1611 0.0668 0.4156
Cl4 Cl 0.6611 0.9332 0.5844
Cl5 Cl 0.0604 0.5264 0.2957
Cl6 Cl 0.5604 0.4736 0.7043
Cl7 Cl 0.5604 0.7694 0.2957
Cl8 Cl 0.0604 0.2306 0.7043
Cl9 Cl 0.8896 0.0092 0.1572
Cl10 Cl 0.3896 0.9908 0.8428
Cl11 Cl 0.9239 0.4118 0.0000
Cl12 Cl 0.4239 0.5882 0.0000
Cl13 Cl 0.8896 0.8520 0.8428
Cl14 Cl 0.3896 0.1480 0.1572
# uncorrected formation energy: -1.27 eV/atom
# density of states at the Fermi level: 0.000 states/eV/atom

No. 3
# NaLiGeCl4, relaxed, DFT PBE-GGA
data_NaLiGeCl4
_space_group_name_H-M_alt 'P 1'
_space_group_IT_number 1
_cell_length_a 7.9129
_cell_length_b 7.8735
_cell_length_c 7.8735
_cell_angle_alpha 59.57
_cell_angle_beta 59.83
_cell_angle_gamma 59.83
loop_
_space_group_symop_operation_xyz
'x,y,z'
loop_
_atom_site_label
_atom_site_type_symbol
_atom_site_fract_x
_atom_site_fract_y
_atom_site_fract_z
Na1 Na 0.0000 0.0000 0.0000
Na2 Na 0.0000 0.5000 0.5000
Li1 Li 0.6093 0.6407 0.1407
Li2 Li 0.3907 0.3593 0.8593
Ge1 Ge 0.5000 0.0000 0.5000
Ge2 Ge 0.0000 0.0000 0.5000
Cl1 Cl 0.7463 0.7624 0.7449
Cl2 Cl 0.2537 0.7551 0.7376
Cl3 Cl 0.7463 0.2449 0.2624
Cl4 Cl 0.2537 0.2376 0.2551
Cl5 Cl 0.2378 0.7605 0.2605
Cl6 Cl 0.7412 0.7605 0.2605
Cl7 Cl 0.2588 0.2395 0.7395
Cl8 Cl 0.7622 0.2395 0.7395
# uncorrected formation energy: -1.36 eV/atom
# density of states at the Fermi level: 0.000 states/eV/atom

No. 4
# Li2NbGeCl, relaxed, DFT PBE-GGA
data_Li2NbGeCl
_space_group_name_H-M_alt 'P 1'
_space_group_IT_number 1
_cell_length_a 4.6683
_cell_length_b 5.3449
_cell_length_c 4.6683
_cell_angle_alpha 90.00
_cell_angle_beta 90.00
_cell_angle_gamma 90.00
loop_
_space_group_symop_operation_xyz
'x,y,z'
loop_
_atom_site_label
_atom_site_type_symbol
_atom_site_fract_x
_atom_site_fract_y
_atom_site_fract_z
Nb1 Nb 0.5000 0.5000 0.5000
Li1 Li 0.0000 0.0000 0.5000
Li2 Li 0.5000 0.0000 0.0000
Ge1 Ge 0.0000 0.0000 0.0000
Cl1 Cl 0.0000 0.5000 0.0000
# uncorrected formation energy: 0.78 eV/atom
# density of states at the Fermi level: 0.819 states/eV/atom
# relative energy among the computed polymorphs: 0.040 eV/atom

No. 5
# Li2NbGeCl, relaxed, DFT PBE-GGA
data_Li2NbGeCl
_space_group_name_H-M_alt 'P 1'
_space_group_IT_number 1
_cell_length_a 5.7836
_cell_length_b 4.8086
_cell_length_c 5.7836
_cell_angle_alpha 90.00
_cell_angle_beta 90.00
_cell_angle_gamma 90.00
loop_
_space_group_symop_operation_xyz
'x,y,z'
loop_
_atom_site_label
_atom_site_type_symbol
_atom_site_fract_x
_atom_site_fract_y
_atom_site_fract_z
Nb1 Nb 0.0000 0.0000 0.0000
Li1 Li 0.0000 0.0000 0.5000
Li2 Li 0.5000 0.0000 0.0000
Ge1 Ge 0.0000 0.5000 0.0000
Cl1 Cl 0.5000 0.5000 0.5000
# uncorrected formation energy: 0.74 eV/atom
# density of states at the Fermi level: 0.602 states/eV/atom
# relative energy among the computed polymorphs: 0.000 eV/atom

No. 6
# LiGeP2Cl, relaxed, DFT PBE-GGA
data_LiGeP2Cl
_space_group_name_H-M_alt 'P 1'
_space_group_IT_number 1
_cell_length_a 4.5957
_cell_length_b 4.5957
_cell_length_c 5.9505
_cell_angle_alpha 90.00
_cell_angle_beta 90.00
_cell_angle_gamma 90.00
loop_
_space_group_symop_operation_xyz
'x,y,z'
loop_
_atom_site_label
_atom_site_type_symbol
_atom_site_fract_x
_atom_site_fract_y
_atom_site_fract_z
P1 P 0.0000 0.5000 0.0000
P2 P 0.5000 0.0000 0.0000
Ge1 Ge 0.0000 0.0000 0.0000
Li1 Li 0.5000 0.5000 0.5000
Cl1 Cl 0.0000 0.0000 0.5000
# uncorrected formation energy: 0.27 eV/atom
# density of states at the Fermi level: 0.351 states/eV/atom
# relative energy among the computed polymorphs: 0.000 eV/atom